Entry 1:
Compound: ZrScCu
Source: Alexandria
Functional: PBE-GGA
Structure: optimized geometry

Cell lengths 4.6651, 4.6651, 6.1488 Å; angles 90.00, 90.00, 120.00 degrees
Space group P6_3/mmc (No. 194)
Unique sites:
Zr 0.3333 0.6667 0.2500 [2 per cell]
Sc 0.0000 0.0000 0.0000 [2 per cell]
Cu 0.3333 0.6667 0.7500 [2 per cell]

Calculated total energy: -6.387 eV per atom
ρ: 5723 kg/m³
Calculated volume: 115.9 Å³/cell

=====

Entry 2:
Compound: TiTl3Zn
Source: Alexandria
Functional: PBE-GGA
Structure: optimized geometry

Cell lengths 5.513, 5.513, 5.513 Å; angles 90.00, 90.00, 90.00 degrees
Space group Pm-3m (No. 221)
Unique sites:
Ti 0.000 0.000 0.000 [1 per cell]
Tl 0.000 0.000 0.500 [3 per cell]
Zn 0.500 0.500 0.500 [1 per cell]

Calculated total energy: -2.681 eV per atom
ρ: 7197 kg/m³
Calculated volume: 167.6 Å³/cell